# 1
A geometry-optimized Th2Co3TcAs4 structure, computed with GGA-PBE.

Spin magnetization = 0.000 μB per atom
Calculated formation energy = -7.5 eV/f.u.
Crystal system = tetragonal
Final energy = -7.267 eV per atom

a b c (Å): 4.2250 4.2250 9.4878
angles (deg): 90.00 90.00 90.00
Last column: nearest neighbours and their distance in Å.
Fractional positions:
1 Th 0.0000 0.5000 0.2463  8 As 3.15-3.18, 7 Co 3.20-3.40, 2 Tc 3.20
2 Th 0.5000 0.0000 0.7537  8 As 3.15-3.18, 7 Co 3.20-3.40, 2 Tc 3.20
3 Co 0.0000 0.5000 0.8884  5 As 2.36-2.38
4 Co 0.5000 0.0000 0.1116  5 As 2.36-2.38
5 Co 0.5000 0.5000 0.5000  4 As 2.48
6 Tc 0.0000 0.0000 0.5000  4 As 2.48
7 As 0.0000 0.0000 0.0000  4 Co 2.36
8 As 0.0000 0.5000 0.6377  3 Co 2.38-2.48, 2 Tc 2.48
9 As 0.5000 0.0000 0.3623  3 Co 2.38-2.48, 2 Tc 2.48
10 As 0.5000 0.5000 0.0000  4 Co 2.36

# 2
A geometry-optimized MnRhBr2 structure, computed with GGA-PBE.

Spin magnetization = 0.979 μB per atom
Crystal system = cubic
Polymorph energy (0 for the lowest one) = 3.14 eV per formula unit
Final energy = -4.324 eV per atom

a b c (Å): 6.7937 6.7937 6.7937
angles (deg): 90.00 90.00 90.00
Last column: nearest neighbours and their distance in Å.
Fractional positions:
1 Mn 0.0000 0.0000 0.0000  4 Rh 2.94, 4 Br 2.94
2 Mn 0.0000 0.5000 0.5000  4 Rh 2.94, 4 Br 2.94
3 Mn 0.5000 0.0000 0.5000  4 Rh 2.94, 4 Br 2.94
4 Mn 0.5000 0.5000 0.0000  4 Rh 2.94, 4 Br 2.94
5 Rh 0.2500 0.2500 0.2500  4 Mn 2.94, 4 Br 2.94
6 Rh 0.2500 0.7500 0.7500  4 Mn 2.94, 4 Br 2.94
7 Rh 0.7500 0.2500 0.7500  4 Mn 2.94, 4 Br 2.94
8 Rh 0.7500 0.7500 0.2500  4 Mn 2.94, 4 Br 2.94
9 Br 0.0000 0.0000 0.5000  4 Br 2.94, 4 Rh 2.94
10 Br 0.0000 0.5000 0.0000  4 Br 2.94, 4 Rh 2.94
11 Br 0.2500 0.2500 0.7500  4 Mn 2.94, 4 Br 2.94
12 Br 0.2500 0.7500 0.2500  4 Mn 2.94, 4 Br 2.94
13 Br 0.5000 0.0000 0.0000  4 Br 2.94, 4 Rh 2.94
14 Br 0.5000 0.5000 0.5000  4 Br 2.94, 4 Rh 2.94
15 Br 0.7500 0.2500 0.2500  4 Mn 2.94, 4 Br 2.94
16 Br 0.7500 0.7500 0.7500  4 Br 2.94, 4 Mn 2.94

# 3
A geometry-optimized Li2AcTbAu4 structure, computed with GGA-PBE.

Spin magnetization = 0.000 μB per atom
Calculated formation energy = -5.8 eV/f.u.
Crystal system = trigonal
Final energy = -3.931 eV per atom

a b c (Å): 10.0993 10.0993 10.0993
angles (deg): 26.37 26.37 26.37
Last column: nearest neighbours and their distance in Å.
Fractional positions:
1 Li 0.2413 0.2413 0.2413  6 Au 2.74-2.78
2 Li 0.7587 0.7587 0.7587  6 Au 2.74-2.78
3 Ac 0.0000 0.0000 0.0000  8 Au 3.25-3.35
4 Tb 0.5000 0.5000 0.5000  8 Au 3.00-3.06
5 Au 0.1147 0.1147 0.1147  3 Li 2.74, 3 Au 3.05, 3 Tb 3.06
6 Au 0.3973 0.3973 0.3973  3 Li 2.78, 1 Tb 3.00, 3 Au 3.05
7 Au 0.6027 0.6027 0.6027  3 Li 2.78, 1 Tb 3.00, 3 Au 3.05
8 Au 0.8853 0.8853 0.8853  3 Li 2.74, 3 Au 3.05, 3 Tb 3.06

# 4
A geometry-optimized ScCrAs3 structure, computed with GGA-PBE.

Spin magnetization = 0.853 μB per atom
Calculated formation energy = 2.4 eV/f.u.
Crystal system = cubic
Polymorph energy (0 for the lowest one) = 1.99 eV per formula unit
Final energy = -5.496 eV per atom

a b c (Å): 5.0506 5.0506 5.0506
angles (deg): 90.00 90.00 90.00
Last column: nearest neighbours and their distance in Å.
Fractional positions:
1 Sc 0.0000 0.0000 0.0000  6 As 2.53
2 Cr 0.5000 0.5000 0.5000  12 As 3.57
3 As 0.0000 0.0000 0.5000  2 Sc 2.53
4 As 0.0000 0.5000 0.0000  2 Sc 2.53
5 As 0.5000 0.0000 0.0000  2 Sc 2.53

What did the second record say?
A geometry-optimized MnRhBr2 structure, computed with GGA-PBE.

Spin magnetization = 0.979 μB per atom
Crystal system = cubic
Polymorph energy (0 for the lowest one) = 3.14 eV per formula unit
Final energy = -4.324 eV per atom

a b c (Å): 6.7937 6.7937 6.7937
angles (deg): 90.00 90.00 90.00
Last column: nearest neighbours and their distance in Å.
Fractional positions:
1 Mn 0.0000 0.0000 0.0000  4 Rh 2.94, 4 Br 2.94
2 Mn 0.0000 0.5000 0.5000  4 Rh 2.94, 4 Br 2.94
3 Mn 0.5000 0.0000 0.5000  4 Rh 2.94, 4 Br 2.94
4 Mn 0.5000 0.5000 0.0000  4 Rh 2.94, 4 Br 2.94
5 Rh 0.2500 0.2500 0.2500  4 Mn 2.94, 4 Br 2.94
6 Rh 0.2500 0.7500 0.7500  4 Mn 2.94, 4 Br 2.94
7 Rh 0.7500 0.2500 0.7500  4 Mn 2.94, 4 Br 2.94
8 Rh 0.7500 0.7500 0.2500  4 Mn 2.94, 4 Br 2.94
9 Br 0.0000 0.0000 0.5000  4 Br 2.94, 4 Rh 2.94
10 Br 0.0000 0.5000 0.0000  4 Br 2.94, 4 Rh 2.94
11 Br 0.2500 0.2500 0.7500  4 Mn 2.94, 4 Br 2.94
12 Br 0.2500 0.7500 0.2500  4 Mn 2.94, 4 Br 2.94
13 Br 0.5000 0.0000 0.0000  4 Br 2.94, 4 Rh 2.94
14 Br 0.5000 0.5000 0.5000  4 Br 2.94, 4 Rh 2.94
15 Br 0.7500 0.2500 0.2500  4 Mn 2.94, 4 Br 2.94
16 Br 0.7500 0.7500 0.7500  4 Br 2.94, 4 Mn 2.94